Entry 1:
An optimized crystal structure of Ac2PuPd9, computed with PBE.

Values from the calculation:
ΔE_f = -0.6676 eV per atom
density = 11.9 g/cm³
energy relative to the lowest polymorph listed for this composition = 0 meV per atom

Lattice parameters (Å, degrees): 4.2629 4.2629 12.7609 90.00 90.00 90.00
Last column: nearest neighbours and their distance in Å.
Sites, in units of the cell vectors:
1 Ac 0.0000 0.0000 0.1704  12 Pd 3.01-3.09
2 Ac 0.0000 0.0000 0.8296  12 Pd 3.01-3.09
3 Pu 0.0000 0.0000 0.5000  12 Pd 2.91-3.01
4 Pd 0.0000 0.5000 0.0000  8 Pd 3.01-3.05, 4 Ac 3.05
5 Pd 0.0000 0.5000 0.3453  8 Pd 2.91-3.08, 2 Pu 2.91, 2 Ac 3.09
6 Pd 0.0000 0.5000 0.6547  2 Pu 2.91, 8 Pd 2.91-3.08, 2 Ac 3.09
7 Pd 0.5000 0.0000 0.0000  8 Pd 3.01-3.05, 4 Ac 3.05
8 Pd 0.5000 0.0000 0.3453  8 Pd 2.91-3.08, 2 Pu 2.91, 2 Ac 3.09
9 Pd 0.5000 0.0000 0.6547  2 Pu 2.91, 8 Pd 2.91-3.08, 2 Ac 3.09
10 Pd 0.5000 0.5000 0.1714  4 Ac 3.01, 8 Pd 3.05-3.08
11 Pd 0.5000 0.5000 0.5000  8 Pd 2.91, 4 Pu 3.01
12 Pd 0.5000 0.5000 0.8286  4 Ac 3.01, 8 Pd 3.05-3.08



Entry 2:
An optimized crystal structure of Pm2Pr4Tl3H2, computed with PBE.

Values from the calculation:
density = 7.9 g/cm³

Lattice parameters (Å, degrees): 13.2638 13.2638 13.2638 158.69 158.69 30.31
Last column: nearest neighbours and their distance in Å.
Sites, in units of the cell vectors:
1 Pm 0.2001 0.2001 0.0000  1 H 2.41
2 Pm 0.7999 0.7999 0.0000  1 H 2.41
3 Pr 0.0856 0.5856 0.5000  2 H 2.51
4 Pr 0.4144 0.9144 0.5000  2 H 2.51
5 Pr 0.5856 0.0856 0.5000  2 H 2.51
6 Pr 0.9144 0.4144 0.5000  2 H 2.51
7 Tl 0.3247 0.3247 0.0000  5 Pm 3.19-3.53, 4 Pr 3.36
8 Tl 0.5000 0.5000 0.0000  8 Pr 3.29
9 Tl 0.6753 0.6753 0.0000  5 Pm 3.19-3.53, 4 Pr 3.36
10 H 0.1062 0.1062 0.0000  1 Pm 2.41, 4 Pr 2.51
11 H 0.8938 0.8938 0.0000  1 Pm 2.41, 4 Pr 2.51



Entry 3:
An optimized crystal structure of Nd2CuHg3, computed with PBE.

Values from the calculation:
ΔE_f = -0.3639 eV per atom
density = 10.8 g/cm³

Lattice parameters (Å, degrees): 3.5565 4.8703 8.4962 90.00 90.00 90.00
Last column: nearest neighbours and their distance in Å.
Sites, in units of the cell vectors:
1 Nd 0.0000 0.0000 0.0000  2 Cu 3.20, 10 Hg 3.33-3.58, 2 Nd 3.56
2 Nd 0.0000 0.5000 0.4769  8 Hg 3.19-3.42, 4 Cu 3.32, 2 Nd 3.56
3 Cu 0.5000 0.0000 0.3134  3 Hg 2.72-2.74
4 Hg 0.5000 0.0000 0.6337  1 Cu 2.72, 2 Hg 2.91
5 Hg 0.5000 0.5000 0.1650  2 Cu 2.74, 1 Hg 2.93
6 Hg 0.5000 0.5000 0.8205  3 Hg 2.91-2.93



Entry 4:
An optimized crystal structure of MgSb2TeRh, computed with PBE.

Values from the calculation:
density = 5.8 g/cm³
energy relative to the elements, uncorrected = 936 meV/atom
energy relative to the lowest polymorph listed for this composition = 752 meV per atom

Lattice parameters (Å, degrees): 5.2022 5.2022 5.3091 90.00 90.00 90.00
Last column: nearest neighbours and their distance in Å.
Sites, in units of the cell vectors:
1 Mg 0.0000 0.0000 0.0000  4 Sb 2.60, 2 Te 2.65
2 Sb 0.0000 0.5000 0.0000  2 Mg 2.60
3 Sb 0.5000 0.0000 0.0000  2 Mg 2.60
4 Te 0.0000 0.0000 0.5000  2 Mg 2.65
5 Rh 0.5000 0.5000 0.5000  4 Te 3.68, 8 Sb 3.72



| no. | E_tot (eV per atom) |
| --- | --- |
| 1 | -6.44 |
| 2 | -4.14 |
| 3 | -2.79 |
| 4 | -3.13 |